# CsBaSbF6

A geometry-optimized CsBaSbF6 structure (PBE-GGA, Alexandria).

Values from the calculation:
* E_form (uncorrected): -2.98 eV/atom
* final energy: -4.991 eV/atom

Unit cell a=6.7865 b=6.7869 c=4.2444 alpha=90.00 beta=90.00 gamma=59.98
Closest atoms and distances in Å follow each position.
Positions (direct):
Cs  0.9998  0.0001  0.8482  6 F 2.89-3.14
F  0.5986  0.1326  0.3246  1 Sb 2.08
F  0.6062  0.4473  0.7611  1 Sb 2.40
F  0.9466  0.6063  0.7609  1 Sb 2.40
F  0.4469  0.9468  0.7611  1 Sb 2.40
F  0.2689  0.5982  0.3242  1 Sb 2.08
F  0.1330  0.2688  0.3242  1 Sb 2.08
Sb  0.3333  0.3333  0.6298  3 F 2.08
Ba  0.6665  0.6667  0.2657  9 F 2.72-2.97

# Cs2BaSbF6

A geometry-optimized Cs2BaSbF6 structure (PBE-GGA, Alexandria).

Values from the calculation:
* E_form (uncorrected): -2.71 eV/atom
* final energy: -4.612 eV/atom

Unit cell a=6.7403 b=6.7403 c=7.5757 alpha=63.59 beta=63.59 gamma=90.00
Closest atoms and distances in Å follow each position.
Positions (direct):
Cs  0.7500  0.2500  0.5000  12 F 3.39-3.79
Cs  0.2500  0.7500  0.5000  12 F 3.39-3.79
F  0.2159  0.2159  0.5682  1 Ba 2.54
F  0.7841  0.7841  0.4318  1 Ba 2.54
F  0.7301  0.2699  0.0000  1 Sb 2.19
F  0.7301  0.7301  0.0000  1 Sb 2.19
F  0.2699  0.7301  0.0000  1 Sb 2.19
F  0.2699  0.2699  0.0000  1 Sb 2.19
Ba  0.0000  0.0000  0.0000  6 F 2.54-2.57
Sb  0.5000  0.5000  0.0000  4 F 2.19